Entry 1:
Computed, not measured: a relaxed structure of Rb3ReAs at the PBE-GGA level of DFT.

a b c (Å): 6.484 6.484 6.484
angles (deg): 90.00 90.00 90.00
Last column: magnetic moment on the atom in μB.
Sites, in units of the cell vectors:
Re  0.000  0.000  0.000  2.96
As  0.500  0.500  0.500  0.54
Rb  0.000  0.500  0.000  0.02
Rb  0.000  0.000  0.500  0.01
Rb  0.500  0.000  0.000  0.02

Properties
ΔE_f ... 1.497 eV per atom
Space group ... Pm-3m


Entry 2:
Computed, not measured: a relaxed structure of Rb2ReAs2 at the PBE-GGA level of DFT.

a b c (Å): 4.142 4.142 7.854
angles (deg): 74.71 74.71 90.00
Last column: magnetic moment on the atom in μB.
Sites, in units of the cell vectors:
Re  0.000  0.000  0.000  2.35
As  0.421  0.421  0.157  -0.06
As  0.579  0.579  0.843  -0.06
Rb  0.750  0.250  0.500  -0.01
Rb  0.250  0.750  0.500  -0.01

Properties
ΔE_f ... 1.153 eV per atom
Space group ... I4/mmm


Entry 3:
Computed, not measured: a relaxed structure of Rb2TaReAs at the PBE-GGA level of DFT.

a b c (Å): 6.882 4.664 6.882
angles (deg): 90.00 90.00 90.00
Last column: magnetic moment on the atom in μB.
Sites, in units of the cell vectors:
Re  0.000  0.500  0.000  1.26
As  0.500  0.500  0.500  0.73
Rb  0.000  0.000  0.500  -0.01
Rb  0.500  0.000  0.000  -0.02
Ta  0.000  0.000  0.000  -0.82

Properties
ΔE_f ... 1.797 eV per atom
Space group ... P4/mmm


Entry 4:
Computed, not measured: a relaxed structure of Rb2TlReAs at the PBE-GGA level of DFT.

a b c (Å): 6.774 4.718 6.774
angles (deg): 90.00 90.00 90.00
Last column: magnetic moment on the atom in μB.
Sites, in units of the cell vectors:
Re  0.000  0.000  0.000  1.74
Tl  0.500  0.500  0.500  -0.03
As  0.000  0.500  0.000  -0.05
Rb  0.000  0.000  0.500  0.01
Rb  0.500  0.000  0.000  0.02

Properties
ΔE_f ... 0.716 eV per atom
Space group ... P4/mmm


Entry 5:
Computed, not measured: a relaxed structure of Rb2AsRh at the PBE-GGA level of DFT.

a b c (Å): 12.736 12.736 9.300
angles (deg): 46.79 46.79 90.00
Sites, in units of the cell vectors:
As  0.500  0.500  0.000
As  0.250  0.750  0.500
Rh  0.000  0.000  0.000
Rh  0.750  0.250  0.500
Rb  0.823  0.125  0.250
Rb  0.927  0.625  0.250
Rb  0.375  0.177  0.750
Rb  0.875  0.073  0.750

Properties
ΔE_f ... -0.126 eV per atom
Space group ... I-42d


Entry 6:
Computed, not measured: a relaxed structure of RbAs2Rh at the PBE-GGA level of DFT.

a b c (Å): 4.176 4.176 7.033
angles (deg): 72.73 72.73 60.00
Sites, in units of the cell vectors:
As  0.293  0.293  0.122
As  0.707  0.707  0.878
Rh  0.000  0.000  0.000
Rb  0.500  0.500  0.500

Properties
ΔE_f ... -0.372 eV per atom
E above lowest polymorph ... 0.000 eV/atom
Space group ... R-3m


Entry 7:
Computed, not measured: a relaxed structure of RbAs2Rh at the PBE-GGA level of DFT.

a b c (Å): 7.461 7.461 6.827
angles (deg): 56.88 56.88 90.00
Sites, in units of the cell vectors:
As  0.747  0.125  0.250
As  0.003  0.625  0.250
As  0.375  0.253  0.750
As  0.875  0.997  0.750
Rh  0.000  0.000  0.000
Rh  0.750  0.250  0.500
Rb  0.500  0.500  0.000
Rb  0.250  0.750  0.500

Properties
ΔE_f ... -0.159 eV per atom
E above lowest polymorph ... 0.212 eV/atom
Space group ... I-42d


Entry 8:
Computed, not measured: a relaxed structure of Rb2As2Rh at the PBE-GGA level of DFT.

a b c (Å): 6.530 6.530 5.856
angles (deg): 90.00 90.00 90.00
Sites, in units of the cell vectors:
As  0.362  0.862  0.000
As  0.862  0.638  0.000
As  0.638  0.138  0.000
As  0.138  0.362  0.000
Rh  0.000  0.000  0.000
Rh  0.500  0.500  0.000
Rb  0.179  0.679  0.500
Rb  0.679  0.821  0.500
Rb  0.821  0.321  0.500
Rb  0.321  0.179  0.500

Properties
ΔE_f ... -0.285 eV per atom
Space group ... P4/mbm


Entry 9:
Computed, not measured: a relaxed structure of RbAs2Rh3 at the PBE-GGA level of DFT.

a b c (Å): 3.977 8.064 9.002
angles (deg): 112.68 90.00 104.28
Sites, in units of the cell vectors:
Rb  0.852  0.704  0.941
Rb  0.148  0.296  0.059
As  0.476  0.953  0.774
As  0.524  0.047  0.226
As  0.816  0.633  0.367
As  0.184  0.367  0.633
Rh  0.318  0.635  0.558
Rh  0.959  0.917  0.609
Rh  0.590  0.181  0.647
Rh  0.410  0.819  0.353
Rh  0.041  0.083  0.391
Rh  0.682  0.365  0.442

Properties
ΔE_f ... -0.448 eV per atom
Space group ... C2/m


Entry 10:
Computed, not measured: a relaxed structure of RbAs2Rh at the PBE-GGA level of DFT.

a b c (Å): 4.868 4.868 4.868
angles (deg): 60.00 60.00 60.00
Sites, in units of the cell vectors:
As  0.250  0.250  0.250
As  0.750  0.750  0.750
Rh  0.500  0.500  0.500
Rb  0.000  0.000  0.000

Properties
ΔE_f ... 0.397 eV per atom
E above lowest polymorph ... 0.769 eV/atom
Space group ... Fm-3m


Entry 11:
Computed, not measured: a relaxed structure of RbAsRh3 at the PBE-GGA level of DFT.

a b c (Å): 4.827 4.827 4.827
angles (deg): 90.00 90.00 90.00
Last column: magnetic moment on the atom in μB.
Sites, in units of the cell vectors:
As  0.500  0.500  0.500  0.00
Rh  0.000  0.500  0.000  0.14
Rh  0.000  0.000  0.500  0.07
Rh  0.500  0.000  0.000  0.13
Rb  0.000  0.000  0.000  0.00

Properties
ΔE_f ... 2.284 eV per atom
E above lowest polymorph ... 1.925 eV/atom
Space group ... Pm-3m


Entry 12:
Computed, not measured: a relaxed structure of RbAsRh3 at the PBE-GGA level of DFT.

a b c (Å): 4.722 4.722 4.722
angles (deg): 90.00 90.00 90.00
Last column: magnetic moment on the atom in μB.
Sites, in units of the cell vectors:
As  0.000  0.000  0.000  -0.01
Rh  0.000  0.500  0.000  0.14
Rh  0.000  0.000  0.500  0.16
Rh  0.500  0.000  0.000  0.12
Rb  0.500  0.500  0.500  0.00

Properties
ΔE_f ... 0.359 eV per atom
E above lowest polymorph ... 0.000 eV/atom
Space group ... Pm-3m


Entry 13:
Computed, not measured: a relaxed structure of Rb3AsRh at the PBE-GGA level of DFT.

a b c (Å): 5.841 5.841 5.841
angles (deg): 90.00 90.00 90.00
Last column: magnetic moment on the atom in μB.
Sites, in units of the cell vectors:
As  0.500  0.500  0.500  0.50
Rh  0.000  0.000  0.000  0.13
Rb  0.000  0.500  0.000  0.00
Rb  0.000  0.000  0.500  0.00
Rb  0.500  0.000  0.000  0.00

Properties
ΔE_f ... 0.629 eV per atom
Space group ... Pm-3m


Entry 14:
Computed, not measured: a relaxed structure of RbAs3Rh4 at the PBE-GGA level of DFT.

a b c (Å): 4.046 4.046 9.873
angles (deg): 90.00 90.00 90.00
Sites, in units of the cell vectors:
As  0.000  0.000  0.000
As  0.500  0.500  0.289
As  0.500  0.500  0.711
Rh  0.000  0.500  0.150
Rh  0.000  0.500  0.850
Rh  0.500  0.000  0.850
Rh  0.500  0.000  0.150
Rb  0.000  0.000  0.500

Properties
ΔE_f ... -0.518 eV per atom
Space group ... P4/mmm


Entry 15:
Computed, not measured: a relaxed structure of RbAs2RhS8 at the PBE-GGA level of DFT.

a b c (Å): 5.881 5.881 10.371
angles (deg): 90.00 90.00 120.00
Last column: magnetic moment on the atom in μB.
Sites, in units of the cell vectors:
Rb  0.000  0.000  0.000  0.00
As  0.667  0.333  0.303  -0.01
As  0.333  0.667  0.697  -0.01
Rh  0.000  0.000  0.500  0.29
S  0.333  0.667  0.902  0.07
S  0.306  0.346  0.367  0.16
S  0.654  0.959  0.367  0.16
S  0.667  0.333  0.098  0.07
S  0.346  0.041  0.633  0.16
S  0.694  0.654  0.633  0.16
S  0.959  0.306  0.633  0.16
S  0.041  0.694  0.367  0.16

Properties
Formation energy from raw total energies ... -0.136 eV per atom
Space group ... P-3


Entry 16:
Computed, not measured: a relaxed structure of RbAs2RhSe at the PBE-GGA level of DFT.

a b c (Å): 4.774 4.774 5.710
angles (deg): 90.00 90.00 90.00
Sites, in units of the cell vectors:
As  0.000  0.500  0.000
As  0.500  0.000  0.000
Rh  0.000  0.000  0.000
Se  0.000  0.000  0.500
Rb  0.500  0.500  0.500

Properties
Formation energy from raw total energies ... -0.032 eV per atom
E above lowest polymorph ... 0.000 eV/atom
Space group ... P4/mmm


Entry 17:
Computed, not measured: a relaxed structure of RbAsRhSe2 at the PBE-GGA level of DFT.

a b c (Å): 5.302 5.302 4.635
angles (deg): 90.00 90.00 90.00
Sites, in units of the cell vectors:
As  0.000  0.000  0.500
Rh  0.000  0.000  0.000
Se  0.000  0.500  0.000
Se  0.500  0.000  0.000
Rb  0.500  0.500  0.500

Properties
Formation energy from raw total energies ... -0.131 eV per atom
E above lowest polymorph ... 0.000 eV/atom
Space group ... P4/mmm


Entry 18:
Computed, not measured: a relaxed structure of RbAsRhSe2 at the PBE-GGA level of DFT.

a b c (Å): 5.747 5.747 5.556
angles (deg): 90.00 90.00 90.00
Last column: magnetic moment on the atom in μB.
Sites, in units of the cell vectors:
As  0.000  0.000  0.500  -0.11
Rh  0.500  0.500  0.500  1.62
Se  0.000  0.500  0.000  0.38
Se  0.500  0.000  0.000  0.38
Rb  0.000  0.000  0.000  0.05

Properties
Formation energy from raw total energies ... 1.875 eV per atom
E above lowest polymorph ... 2.006 eV/atom
Space group ... P4/mmm


Entry 19:
Computed, not measured: a relaxed structure of RbAs2RhSe at the PBE-GGA level of DFT.

a b c (Å): 5.495 5.495 5.638
angles (deg): 90.00 90.00 90.00
Last column: magnetic moment on the atom in μB.
Sites, in units of the cell vectors:
As  0.000  0.500  0.000  -0.02
As  0.500  0.000  0.000  -0.02
Rh  0.500  0.500  0.500  1.47
Se  0.000  0.000  0.500  0.08
Rb  0.000  0.000  0.000  0.01

Properties
Formation energy from raw total energies ... 2.062 eV per atom
E above lowest polymorph ... 2.094 eV/atom
Space group ... P4/mmm


Entry 20:
Computed, not measured: a relaxed structure of RbTiAsRh2 at the PBE-GGA level of DFT.

a b c (Å): 4.774 4.776 4.774
angles (deg): 90.00 90.00 90.00
Sites, in units of the cell vectors:
As  0.500  0.500  0.500
Rh  0.000  0.000  0.500
Rh  0.500  0.000  0.000
Rb  0.000  0.000  0.000
Ti  0.000  0.500  0.000

Properties
ΔE_f ... 2.118 eV per atom
Space group ... P4/mmm